No. 1
A relaxed LaCdNF2 crystal. Source: Alexandria, functional PBE-GGA.

Geometry as extended XYZ:
```
5
Lattice="4.608 0.000 0.000 0.000 4.608 0.000 0.000 0.000 4.893" Properties=species:S:1:pos:R:3 pbc="T T T"
La 0.000 0.000 0.000
Cd 2.304 2.304 2.447
N 0.000 0.000 2.447
F 0.000 2.304 0.000
F 2.304 0.000 0.000
```

Computed properties:
The value obtained for the energy above the most stable polymorph in this dataset is 0 meV per atom. The formation energy (no corrections) comes out at -1637 meV/atom. The value obtained for the density is 4.8 g cm⁻³.



No. 2
A relaxed LaTlFe crystal. Source: Alexandria, functional PBE-GGA.

Geometry as extended XYZ:
```
3
Lattice="-1.769 1.769 5.804 1.769 -1.769 5.804 1.769 1.769 -5.804" Properties=species:S:1:pos:R:3 pbc="T T T"
La 0.000 0.000 0.000
Tl 0.000 0.000 3.319
Fe 0.000 0.000 7.765
```

Computed properties:
The value obtained for the density is 9.1 g cm⁻³. The formation energy comes out at 198.7 meV/atom.



No. 3
A relaxed Ir2PtPb crystal. Source: Alexandria, functional PBE-GGA.

Geometry as extended XYZ:
```
4
Lattice="4.099 0.000 0.000 0.000 4.099 0.000 0.000 0.000 4.010" Properties=species:S:1:pos:R:3 pbc="T T T"
Ir 0.000 2.050 0.000
Ir 2.050 0.000 0.000
Pt 0.000 0.000 2.005
Pb 2.050 2.050 2.005
```

Computed properties:
The value obtained for the density is 19.4 g cm⁻³. The formation energy comes out at 281.2 meV/atom.



No. 4
A relaxed PdSeBr3 crystal. Source: Alexandria, functional PBE-GGA.

Geometry as extended XYZ:
```
20
Lattice="7.188 0.000 0.000 0.000 8.076 0.000 -0.150 0.000 12.911" Properties=species:S:1:pos:R:3 pbc="T T T"
Pd 0.403 1.129 1.490
Pd 0.327 6.948 7.946
Pd 6.711 1.129 4.966
Pd 6.635 6.948 11.421
Se 0.183 3.518 4.304
Se 0.108 4.559 10.760
Se 6.930 3.518 2.151
Se 6.855 4.559 8.607
Br 0.812 1.467 7.059
Br 0.887 6.610 0.603
Br 1.610 0.472 3.619
Br 1.535 7.605 10.075
Br 2.405 2.084 0.446
Br 2.330 5.993 6.901
Br 4.708 2.084 6.010
Br 4.633 5.993 12.466
Br 5.503 0.472 2.836
Br 5.428 7.605 9.292
Br 6.151 1.467 12.308
Br 6.226 6.610 5.853
```

Computed properties:
The value obtained for the energy above the most stable polymorph in this dataset is 92 meV per atom. The formation energy (no corrections) comes out at -149 meV/atom. The value obtained for the density is 3.8 g cm⁻³.



No. 5
A relaxed Sr2Tl7Cd2 crystal. Source: Alexandria, functional PBE-GGA.

Geometry as extended XYZ:
```
11
Lattice="5.715 -5.625 0.000 5.715 5.625 0.000 -3.030 0.000 5.337" Properties=species:S:1:pos:R:3 pbc="T T T"
Sr 5.715 3.497 0.000
Sr 5.715 -3.497 0.000
Tl -1.515 0.000 2.668
Tl 2.788 2.775 1.821
Tl 2.443 0.000 3.555
Tl 5.611 2.775 3.516
Tl 2.788 -2.775 1.821
Tl 5.956 0.000 1.781
Tl 5.611 -2.775 3.516
Cd 2.947 0.000 0.224
Cd 5.453 0.000 5.112
```

Computed properties:
The value obtained for the density is 8.9 g cm⁻³. The formation energy comes out at -131.1 meV/atom.



No. 6
A relaxed CuSnRh crystal. Source: Alexandria, functional PBE-GGA.

Geometry as extended XYZ:
```
3
Lattice="4.297 0.000 0.000 -2.149 3.722 0.000 0.000 0.000 2.999" Properties=species:S:1:pos:R:3 pbc="T T T"
Cu 0.000 0.000 0.000
Sn 2.149 1.241 2.254
Rh 0.000 2.481 1.121
```

Computed properties:
The value obtained for the density is 9.9 g cm⁻³. The formation energy comes out at -127.0 meV/atom.



No. 7
A relaxed Cs2AgBr2Cl2 crystal. Source: Alexandria, functional PBE-GGA.

Geometry as extended XYZ:
```
7
Lattice="-2.683 2.683 8.816 2.683 -2.683 8.816 2.683 2.683 -8.816" Properties=species:S:1:pos:R:3 pbc="T T T"
Cs 0.000 0.000 2.361
Cs 0.000 0.000 15.271
Ag 0.000 0.000 8.816
Br 0.000 0.000 6.124
Br 0.000 0.000 11.508
Cl 2.683 0.000 0.000
Cl 0.000 2.683 0.000
```

Computed properties:
The formation energy (no corrections) comes out at -1237 meV/atom. The value obtained for the density is 4.0 g cm⁻³.



No. 8
A relaxed ZnRe2Ir crystal. Source: Alexandria, functional PBE-GGA.

Geometry as extended XYZ:
```
4
Lattice="2.569 -4.185 0.000 2.569 4.185 0.000 0.000 0.000 2.733" Properties=species:S:1:pos:R:3 pbc="T T T"
Zn 0.000 0.000 0.000
Re 1.285 2.093 1.366
Re 1.285 -2.093 1.366
Ir 2.569 0.000 0.000
```

Computed properties:
The value obtained for the energy above the most stable polymorph in this dataset is 184 meV per atom. The value obtained for the density is 17.8 g cm⁻³. The formation energy comes out at 180.0 meV/atom.



No. 9
A relaxed LiDy2Mg3 crystal. Source: Alexandria, functional PBE-GGA.

Geometry as extended XYZ:
```
12
Lattice="2.590 -7.733 0.000 2.590 7.733 0.000 0.000 0.000 7.652" Properties=species:S:1:pos:R:3 pbc="T T T"
Li 2.590 5.252 0.000
Li 2.590 -5.252 0.000
Dy 2.590 5.212 3.826
Dy 2.590 0.000 0.000
Dy 2.590 0.000 3.826
Dy 2.590 -5.212 3.826
Mg 0.000 0.000 1.782
Mg 0.000 0.000 5.870
Mg 2.590 2.706 1.720
Mg 2.590 2.706 5.932
Mg 2.590 -2.706 1.720
Mg 2.590 -2.706 5.932
```

Computed properties:
The value obtained for the energy above the most stable polymorph in this dataset is 31 meV per atom. The value obtained for the density is 4.4 g cm⁻³. The formation energy comes out at -27.4 meV/atom.



No. 10
A relaxed SrHgSb2Te crystal. Source: Alexandria, functional PBE-GGA.

Geometry as extended XYZ:
```
5
Lattice="6.182 0.000 0.000 0.000 6.182 0.000 0.000 0.000 6.070" Properties=species:S:1:pos:R:3 pbc="T T T"
Sr 0.000 0.000 0.000
Hg 3.091 3.091 3.035
Sb 0.000 3.091 0.000
Sb 3.091 0.000 0.000
Te 0.000 0.000 3.035
```

Computed properties:
The value obtained for the energy above the most stable polymorph in this dataset is 468 meV per atom. The formation energy (no corrections) comes out at 509 meV/atom. The value obtained for the density is 4.7 g cm⁻³.



No. 11
A relaxed Sb2PbW crystal. Source: Alexandria, functional PBE-GGA.

Geometry as extended XYZ:
```
4
Lattice="1.867 -2.592 0.000 1.867 2.592 0.000 0.000 0.000 10.374" Properties=species:S:1:pos:R:3 pbc="T T T"
Sb 0.000 0.000 2.070
Sb 0.000 0.000 8.303
Pb 1.867 0.000 5.187
W 1.867 0.000 0.000
```

Computed properties:
The formation energy (no corrections) comes out at 520 meV/atom. The value obtained for the density is 10.5 g cm⁻³.



No. 12
A relaxed LaVN3 crystal. Source: Alexandria, functional PBE-GGA.

Geometry as extended XYZ:
```
10
Lattice="3.654 0.000 0.000 0.135 6.122 0.000 0.831 0.398 6.084" Properties=species:S:1:pos:R:3 pbc="T T T"
La 0.000 0.000 0.000
La 0.934 2.630 3.121
V 1.995 5.630 2.610
V 2.780 3.680 5.706
N 0.922 4.178 5.135
N 1.877 4.730 4.303
N 1.948 4.435 1.222
N 2.674 1.968 5.101
N 2.810 1.217 2.093
N 3.709 0.241 2.558
```

Computed properties:
The formation energy (no corrections) comes out at -833 meV/atom. The value obtained for the density is 5.7 g cm⁻³.



No. 13
A relaxed Y2ZnGa4Rh3 crystal. Source: Alexandria, functional PBE-GGA.

Geometry as extended XYZ:
```
10
Lattice="4.002 0.000 0.000 0.000 4.002 0.000 0.000 0.000 11.323" Properties=species:S:1:pos:R:3 pbc="T T T"
Y 0.000 2.001 2.728
Y 2.001 0.000 8.595
Zn 0.000 0.000 5.661
Ga 0.000 0.000 0.000
Ga 0.000 2.001 7.235
Ga 2.001 0.000 4.088
Ga 2.001 2.001 0.000
Rh 0.000 2.001 9.741
Rh 2.001 0.000 1.582
Rh 2.001 2.001 5.661
```

Computed properties:
The value obtained for the density is 7.6 g cm⁻³. The formation energy comes out at -694.9 meV/atom.



No. 14
A relaxed LiCuMo2 crystal. Source: Alexandria, functional PBE-GGA.

Geometry as extended XYZ:
```
8
Lattice="-3.476 3.476 2.461 3.476 -3.476 2.461 3.476 3.476 -2.461" Properties=species:S:1:pos:R:3 pbc="T T T"
Li 0.000 0.000 0.000
Li 0.000 3.476 1.230
Cu 3.476 0.000 1.230
Cu 0.000 0.000 2.461
Mo 1.738 -1.696 1.845
Mo 1.781 1.738 0.615
Mo 1.738 5.172 -0.615
Mo 1.696 1.738 3.076
```

Computed properties:
The value obtained for the energy above the most stable polymorph in this dataset is 634 meV per atom. The value obtained for the density is 7.3 g cm⁻³. The formation energy comes out at 809.9 meV/atom.



No. 15
A relaxed TbAlRu crystal. Source: Alexandria, functional PBE-GGA.

Geometry as extended XYZ:
```
3
Lattice="-1.641 1.641 5.299 1.641 -1.641 5.299 1.641 1.641 -5.299" Properties=species:S:1:pos:R:3 pbc="T T T"
Tb 0.000 0.000 0.000
Al 0.000 0.000 3.024
Ru 0.000 0.000 7.188
```

Computed properties:
The value obtained for the density is 8.3 g cm⁻³. The formation energy comes out at -471.8 meV/atom.



No. 16
A relaxed Pm6SmEr8 crystal. Source: Alexandria, functional PBE-GGA.

Geometry as extended XYZ:
```
15
Lattice="4.528 2.614 6.925 -4.528 2.614 6.925 0.000 -5.228 6.925" Properties=species:S:1:pos:R:3 pbc="T T T"
Pm -3.121 -1.164 9.484
Pm -0.552 -3.284 11.292
Pm -2.568 2.121 11.292
Pm 2.568 -2.121 9.484
Pm 0.552 3.284 9.484
Pm 3.121 1.164 11.292
Sm 0.000 0.000 10.388
Er 0.000 0.000 1.590
Er -0.138 -1.985 7.454
Er -1.650 1.112 7.454
Er -1.788 -0.873 13.322
Er 1.788 0.873 7.454
Er 1.650 -1.112 13.322
Er 0.138 1.985 13.322
Er 0.000 0.000 19.186
```

Computed properties:
The value obtained for the density is 8.0 g cm⁻³. The formation energy comes out at 125.9 meV/atom.



No. 17
A relaxed CdPb2Au crystal. Source: Alexandria, functional PBE-GGA.

Geometry as extended XYZ:
```
4
Lattice="2.380 1.374 5.901 -2.380 1.374 5.901 0.000 -2.748 5.901" Properties=species:S:1:pos:R:3 pbc="T T T"
Cd 0.000 0.000 0.000
Pb 0.000 0.000 10.146
Pb 0.000 0.000 13.678
Au 0.000 0.000 2.987
```

Computed properties:
The value obtained for the density is 10.4 g cm⁻³. The formation energy comes out at 13.4 meV/atom.



No. 18
A relaxed TaCu5Pd6 crystal. Source: Alexandria, functional PBE-GGA.

Geometry as extended XYZ:
```
12
Lattice="4.010 0.000 0.000 -1.996 5.966 0.000 -0.010 -0.005 7.126" Properties=species:S:1:pos:R:3 pbc="T T T"
Ta 0.000 0.000 0.000
Cu -0.005 -0.002 3.563
Cu -0.006 3.951 7.126
Cu 0.003 3.998 3.563
Cu 2.002 1.964 3.563
Cu 2.010 2.011 0.000
Pd -0.004 1.983 5.336
Pd 0.001 1.986 1.790
Pd 0.007 5.965 1.773
Pd 1.997 -0.003 5.353
Pd 2.003 3.976 5.336
Pd 2.008 3.979 1.790
```

Computed properties:
The value obtained for the density is 11.1 g cm⁻³. The formation energy comes out at -239.2 meV/atom.



No. 19
A relaxed TiHAu3 crystal. Source: Alexandria, functional PBE-GGA.

Geometry as extended XYZ:
```
5
Lattice="4.229 0.000 0.000 0.000 4.229 0.000 0.000 0.000 4.229" Properties=species:S:1:pos:R:3 pbc="T T T"
Ti 0.000 0.000 0.000
H 2.115 2.115 2.115
Au 0.000 2.115 2.115
Au 2.115 0.000 2.115
Au 2.115 2.115 0.000
```

Computed properties:
The value obtained for the energy above the most stable polymorph in this dataset is 0 meV per atom. The value obtained for the density is 14.0 g cm⁻³.



No. 20
A relaxed Ta2SbAu crystal. Source: Alexandria, functional PBE-GGA.

Geometry as extended XYZ:
```
4
Lattice="3.003 0.000 0.000 0.000 4.352 0.000 -1.254 0.000 5.813" Properties=species:S:1:pos:R:3 pbc="T T T"
Ta -0.172 0.000 1.428
Ta 1.921 0.000 4.385
Sb 0.874 2.176 2.906
Au 1.502 2.176 0.000
```

Computed properties:
The formation energy (no corrections) comes out at 136 meV/atom. The value obtained for the density is 14.9 g cm⁻³.